Material: Er2Al5Cu12
Method: DFT, PBE
State: optimized geometry

abc: 6.5674 6.5674 6.5674
angles: 82.48 82.48 82.48
Closest atoms and distances in Å follow each position.
Atoms (fractional coordinates):
Cu1 0.0000 0.7029 0.2971  2 Al 2.50, 6 Cu 2.57-2.67
Cu2 0.6513 0.1515 0.6513  3 Al 2.51-2.72, 6 Cu 2.53-2.67
Cu3 0.6513 0.6513 0.1515  3 Al 2.51-2.72, 6 Cu 2.53-2.67
Cu4 0.0000 0.2971 0.7029  2 Al 2.50, 6 Cu 2.57-2.67
Cu5 0.3487 0.8485 0.3487  3 Al 2.51-2.72, 6 Cu 2.53-2.67
Cu6 0.7029 0.0000 0.2971  2 Al 2.50, 6 Cu 2.57-2.67
Cu7 0.1515 0.6513 0.6513  3 Al 2.51-2.72, 6 Cu 2.53-2.67
Cu8 0.7029 0.2971 0.0000  2 Al 2.50, 6 Cu 2.57-2.67
Cu9 0.2971 0.7029 0.0000  2 Al 2.50, 6 Cu 2.57-2.67
Cu10 0.3487 0.3487 0.8485  3 Al 2.51-2.72, 6 Cu 2.53-2.67
Cu11 0.8485 0.3487 0.3487  3 Al 2.51-2.72, 6 Cu 2.53-2.67
Cu12 0.2971 0.0000 0.7029  2 Al 2.50, 6 Cu 2.57-2.67
Al1 0.5000 0.0000 0.0000  8 Cu 2.50-2.51, 2 Al 2.65
Al2 0.0000 0.0000 0.5000  8 Cu 2.50-2.51, 2 Al 2.65
Al3 0.0000 0.5000 0.0000  8 Cu 2.50-2.51, 2 Al 2.65
Al4 0.0984 0.0984 0.0984  4 Al 2.52-2.65, 3 Cu 2.72
Al5 0.9016 0.9016 0.9016  4 Al 2.52-2.65, 3 Cu 2.72
Er1 0.6523 0.6523 0.6523  15 Cu 3.05-3.29, 4 Al 3.19-3.41
Er2 0.3477 0.3477 0.3477  15 Cu 3.05-3.29, 4 Al 3.19-3.41

For the density of states at the Fermi level, the calculation gives 0.4397 states/eV/atom. The calculated total energy comes out at -4.32 eV per atom. For the total magnetization, the calculation gives 0.000 μB/f.u. As for the space-group type: R-3m.